No. 1
An optimized crystal structure of PuZn4, computed with PBE.

Lattice parameters (Å, degrees): 4.9534 4.9645 4.9632 122.43 102.94 102.95
With the nearest neighbours (Å) after each atom.
Fractional coordinates of all 5 atoms:
Pu (0.0000, 0.0000, 0.0000)  16 Zn 3.02-3.34
Zn (0.2997, 0.7964, 0.4946)  3 Zn 2.46-2.63
Zn (0.7002, 0.5052, 0.2035)  3 Zn 2.46-2.63
Zn (0.7003, 0.2036, 0.5054)  3 Zn 2.46-2.63
Zn (0.2998, 0.4948, 0.7965)  3 Zn 2.46-2.63

As for the space group: No. 12. As for the crystal system: monoclinic. For the calculated formation energy, the calculation gives -8.7 kJ per mole of atoms. The value obtained for the energy relative to the lowest polymorph listed for this composition is 0.03 eV/f.u.

No. 2
An optimized crystal structure of Zr2Si4Ni3Rh, computed with PBE.

Lattice parameters (Å, degrees): 3.8767 3.8767 9.4660 90.00 90.00 90.00
With the nearest neighbours (Å) after each atom.
Fractional coordinates of all 10 atoms:
Zr (0.5000, 0.0000, 0.2402)  8 Si 2.96-2.99, 6 Ni 2.96-3.13, 2 Rh 3.13
Zr (0.0000, 0.5000, 0.7598)  8 Si 2.96-2.99, 6 Ni 2.96-3.13, 2 Rh 3.13
Si (0.5000, 0.5000, 0.0000)  4 Ni 2.26
Si (0.0000, 0.0000, 0.0000)  4 Ni 2.26
Si (0.5000, 0.0000, 0.6428)  3 Ni 2.22-2.36, 2 Rh 2.36
Si (0.0000, 0.5000, 0.3572)  3 Ni 2.22-2.36, 2 Rh 2.36
Ni (0.0000, 0.0000, 0.5000)  4 Si 2.36
Ni (0.5000, 0.0000, 0.8776)  5 Si 2.22-2.26
Ni (0.0000, 0.5000, 0.1224)  5 Si 2.22-2.26
Rh (0.5000, 0.5000, 0.5000)  4 Si 2.36

As for the space group: No. 115. As for the crystal system: tetragonal. The energy relative to the elements, uncorrected is -0.846 eV/atom.

No. 3
An optimized crystal structure of As2Au2F, computed with PBE.

Lattice parameters (Å, degrees): 4.7617 4.7617 5.7278 65.44 65.44 90.00
With the nearest neighbours (Å) after each atom.
Fractional coordinates of all 5 atoms:
As (0.7500, 0.2500, 0.5000)  4 Au 2.56
As (0.2500, 0.7500, 0.5000)  4 Au 2.56
Au (0.3524, 0.3524, 0.2951)  4 As 2.56, 1 Au 2.73
Au (0.6476, 0.6476, 0.7049)  4 As 2.56, 1 Au 2.73
F (0.0000, 0.0000, 0.0000)  10 Au 3.27-3.63, 8 As 3.32

As for the space group: No. 139. As for the crystal system: tetragonal. The energy relative to the elements, uncorrected is -0.029 eV/atom. The value obtained for the energy relative to the lowest polymorph listed for this composition is 0.16 eV/f.u.

No. 4
An optimized crystal structure of BaOF3, computed with PBE.

Lattice parameters (Å, degrees): 4.4920 6.4725 8.3491 119.87 105.56 90.01
With the nearest neighbours (Å) after each atom.
Fractional coordinates of all 10 atoms:
Ba (0.2050, 0.4551, 0.4428)  8 F 2.60-2.82
Ba (0.8389, 0.1233, 0.7113)  8 F 2.60-2.82
O (0.4800, 0.7748, 0.9976)  1 O 1.19
O (0.5639, 0.8037, 0.1565)  1 O 1.19
F (0.0339, 0.4579, 0.1033)  1 F 2.00
F (0.3672, 0.4166, 0.7678)  1 O 2.09
F (0.6768, 0.1618, 0.3863)  1 O 2.09
F (0.0101, 0.1205, 0.0507)  1 F 2.00
F (0.2580, 0.9124, 0.5490)  3 Ba 2.60-2.62, 1 F 2.79
F (0.7859, 0.6661, 0.6050)  3 Ba 2.60-2.62, 1 F 2.79

As for the space group: No. 2. As for the crystal system: triclinic. The energy relative to the elements, uncorrected is -2.297 eV/atom. The value obtained for the energy relative to the lowest polymorph listed for this composition is 0.00 eV/f.u.

No. 5
An optimized crystal structure of AlAs2Br, computed with PBE.

Lattice parameters (Å, degrees): 4.1026 4.4128 5.6732 65.61 90.00 90.00
With the nearest neighbours (Å) after each atom.
Fractional coordinates of all 4 atoms:
As (0.0000, 0.9600, 0.9137)  1 As 2.46, 2 Al 2.58
As (0.0000, 0.5400, 0.5863)  1 As 2.46, 2 Al 2.58
Al (0.5000, 0.7500, 0.7500)  4 As 2.58, 2 Br 2.78
Br (0.5000, 0.2500, 0.2500)  2 Al 2.78

As for the space group: No. 10. As for the crystal system: monoclinic. The energy relative to the elements, uncorrected is -0.180 eV/atom. The value obtained for the energy relative to the lowest polymorph listed for this composition is 0.17 eV/f.u.

No. 6
An optimized crystal structure of CrBN3, computed with PBE.

Lattice parameters (Å, degrees): 3.2946 3.2946 3.2946 90.00 90.00 90.00
With the nearest neighbours (Å) after each atom.
Fractional coordinates of all 5 atoms:
Cr (0.5000, 0.5000, 0.5000)  12 N 2.33
B (0.0000, 0.0000, 0.0000)  6 N 1.65
N (0.0000, 0.5000, 0.0000)  2 B 1.65
N (0.0000, 0.0000, 0.5000)  2 B 1.65
N (0.5000, 0.0000, 0.0000)  2 B 1.65

As for the space group: No. 221. As for the crystal system: cubic. The energy relative to the elements, uncorrected is 1.282 eV/atom.

No. 7
An optimized crystal structure of Cu3RhAu, computed with PBE.

Lattice parameters (Å, degrees): 4.5896 4.5896 4.5896 90.00 90.00 90.00
With the nearest neighbours (Å) after each atom.
Fractional coordinates of all 5 atoms:
Rh (0.0000, 0.0000, 0.0000)  6 Cu 2.29
Au (0.5000, 0.5000, 0.5000)  12 Cu 3.25
Cu (0.0000, 0.5000, 0.0000)  2 Rh 2.29
Cu (0.0000, 0.0000, 0.5000)  2 Rh 2.29
Cu (0.5000, 0.0000, 0.0000)  2 Rh 2.29

As for the space group: No. 221. As for the crystal system: cubic. For the calculated formation energy, the calculation gives 103.9 kJ per mole of atoms. The value obtained for the energy relative to the lowest polymorph listed for this composition is 5.03 eV/f.u.

No. 8
An optimized crystal structure of KTlCu2I4, computed with PBE.

Lattice parameters (Å, degrees): 8.4602 7.4619 7.4619 69.76 55.47 55.47
With the nearest neighbours (Å) after each atom.
Fractional coordinates of all 8 atoms:
K (0.0000, 0.0000, 0.0000)  4 I 3.56
Tl (0.5000, 0.5000, 0.5000)  4 I 3.52
Cu (0.1474, 0.3526, 0.3526)  2 I 2.45, 1 Cu 2.61
Cu (0.8526, 0.6474, 0.6474)  2 I 2.45, 1 Cu 2.61
I (0.4017, 0.1005, 0.4986)  1 Cu 2.45
I (0.0007, 0.8995, 0.5014)  1 Cu 2.45
I (0.9993, 0.4986, 0.1005)  1 Cu 2.45
I (0.5983, 0.5014, 0.8995)  1 Cu 2.45

As for the space group: No. 23. As for the crystal system: orthorhombic. The energy relative to the elements, uncorrected is -0.557 eV/atom.

No. 9
An optimized crystal structure of Li2Nd2In5Ag, computed with PBE.

Lattice parameters (Å, degrees): 4.4213 10.1842 10.1842 90.00 90.00 90.00
With the nearest neighbours (Å) after each atom.
Fractional coordinates of all 20 atoms:
Li (0.0000, 0.1113, 0.6113)  6 In 2.73-2.95, 1 Nd 2.97
Li (0.0000, 0.8887, 0.3887)  6 In 2.73-2.95, 1 Nd 2.97
Li (0.0000, 0.6113, 0.8887)  6 In 2.73-2.95, 1 Nd 2.97
Li (0.0000, 0.3887, 0.1113)  6 In 2.73-2.95, 1 Nd 2.97
Nd (0.0000, 0.6825, 0.1825)  3 Li 2.97-3.08
Nd (0.0000, 0.3175, 0.8175)  3 Li 2.97-3.08
Nd (0.0000, 0.1825, 0.3175)  3 Li 2.97-3.08
Nd (0.0000, 0.8175, 0.6825)  3 Li 2.97-3.08
In (0.5000, 0.2036, 0.0610)  2 Li 2.95, 3 In 3.06-3.08, 2 Ag 3.09
In (0.5000, 0.7964, 0.9390)  2 Li 2.95, 3 In 3.06-3.08, 2 Ag 3.09
In (0.5000, 0.0610, 0.7964)  2 Li 2.95, 3 In 3.06-3.08, 2 Ag 3.09
In (0.5000, 0.7036, 0.4390)  2 Li 2.95, 3 In 3.06-3.08, 2 Ag 3.09
In (0.5000, 0.9390, 0.2036)  2 Li 2.95, 3 In 3.06-3.08, 2 Ag 3.09
In (0.5000, 0.2964, 0.5610)  2 Li 2.95, 3 In 3.06-3.08, 2 Ag 3.09
In (0.5000, 0.5610, 0.7036)  2 Li 2.95, 3 In 3.06-3.08, 2 Ag 3.09
In (0.5000, 0.4390, 0.2964)  2 Li 2.95, 3 In 3.06-3.08, 2 Ag 3.09
In (0.5000, 0.5000, 0.0000)  4 Li 2.73
In (0.5000, 0.0000, 0.5000)  4 Li 2.73
Ag (0.0000, 0.0000, 0.0000)  8 In 3.09
Ag (0.0000, 0.5000, 0.5000)  8 In 3.09

As for the space group: No. 127. As for the crystal system: tetragonal. For the calculated formation energy, the calculation gives -32.0 kJ per mole of atoms.

No. 10
An optimized crystal structure of Sr2TaSi, computed with PBE.

Lattice parameters (Å, degrees): 5.2004 5.2004 5.2004 60.00 60.00 60.00
With the nearest neighbours (Å) after each atom.
Fractional coordinates of all 4 atoms:
Si (0.5000, 0.5000, 0.5000)  4 Ta 3.18, 4 Sr 3.18
Sr (0.0000, 0.0000, 0.0000)  4 Sr 3.18, 4 Ta 3.18
Sr (0.2500, 0.2500, 0.2500)  4 Si 3.18, 4 Sr 3.18
Ta (0.7500, 0.7500, 0.7500)  4 Sr 3.18, 4 Si 3.18

As for the space group: No. 216. As for the crystal system: cubic. The energy relative to the elements, uncorrected is 0.790 eV/atom.

No. 11
An optimized crystal structure of BaGaCo, computed with PBE.

Lattice parameters (Å, degrees): 7.8367 4.1369 11.1965 90.00 125.24 90.00
With the nearest neighbours (Å) after each atom.
Fractional coordinates of all 12 atoms:
Co (0.0566, 0.0000, 0.6195)  1 Co 2.28, 3 Ga 2.47-2.54
Co (0.9434, 0.0000, 0.3805)  1 Co 2.28, 3 Ga 2.47-2.54
Co (0.0566, 0.5000, 0.1195)  1 Co 2.28, 3 Ga 2.47-2.54
Co (0.9434, 0.5000, 0.8805)  1 Co 2.28, 3 Ga 2.47-2.54
Ba (0.6722, 0.0000, 0.9373)  4 Co 3.23-3.28, 4 Ga 3.32-3.45
Ba (0.3278, 0.0000, 0.0627)  4 Co 3.23-3.28, 4 Ga 3.32-3.45
Ba (0.6722, 0.5000, 0.4373)  4 Co 3.23-3.28, 4 Ga 3.32-3.45
Ba (0.3278, 0.5000, 0.5627)  4 Co 3.23-3.28, 4 Ga 3.32-3.45
Ga (0.8578, 0.0000, 0.7354)  3 Co 2.47-2.54
Ga (0.1422, 0.0000, 0.2646)  3 Co 2.47-2.54
Ga (0.8578, 0.5000, 0.2354)  3 Co 2.47-2.54
Ga (0.1422, 0.5000, 0.7646)  3 Co 2.47-2.54

As for the space group: No. 12. As for the crystal system: monoclinic. For the calculated formation energy, the calculation gives -7.2 kJ per mole of atoms.

No. 12
An optimized crystal structure of MnSb2Pt9, computed with PBE.

Lattice parameters (Å, degrees): 4.0274 4.0274 12.1672 90.00 90.00 90.00
With the nearest neighbours (Å) after each atom.
Fractional coordinates of all 12 atoms:
Mn (0.0000, 0.0000, 0.0000)  12 Pt 2.79-2.85
Sb (0.0000, 0.0000, 0.3205)  12 Pt 2.81-2.97
Sb (0.0000, 0.0000, 0.6795)  12 Pt 2.81-2.97
Pt (0.5000, 0.5000, 0.0000)  8 Pt 2.79, 4 Mn 2.85
Pt (0.5000, 0.5000, 0.3346)  8 Pt 2.85-2.94, 4 Sb 2.85
Pt (0.5000, 0.5000, 0.6654)  8 Pt 2.85-2.94, 4 Sb 2.85
Pt (0.5000, 0.0000, 0.1590)  2 Mn 2.79, 8 Pt 2.79-2.94, 2 Sb 2.81
Pt (0.5000, 0.0000, 0.5000)  8 Pt 2.85, 4 Sb 2.97
Pt (0.5000, 0.0000, 0.8410)  2 Mn 2.79, 8 Pt 2.79-2.94, 2 Sb 2.81
Pt (0.0000, 0.5000, 0.1590)  8 Pt 2.79-2.94, 2 Mn 2.79, 2 Sb 2.81
Pt (0.0000, 0.5000, 0.5000)  8 Pt 2.85, 4 Sb 2.97
Pt (0.0000, 0.5000, 0.8410)  8 Pt 2.79-2.94, 2 Mn 2.79, 2 Sb 2.81

As for the space group: No. 123. As for the crystal system: tetragonal. The energy relative to the elements, uncorrected is -0.257 eV/atom.